Entry 1:
DFT (PBE) results for NaGaGe after structural relaxation.

As for the energy of formation: -0.008 eV per atom. The density of states at the Fermi level is 0.195 states/eV per atom.

The structure belongs to space group Imm2 (No. 44); the cell edges are 4.4245, 14.1447 and 6.5535 Å and the angles 90.00°, 90.00° and 90.00°. Symmetry generates all atoms from Na at (0.0000, 0.0000, 0.0000), Na at (0.0000, 0.3484, 0.5327), Ga at (0.0000, 0.0000, 0.4827), Ga at (0.0000, 0.3155, 0.0387), Ge at (0.0000, 0.1732, 0.3207) and Ge at (0.0000, 0.5000, 0.1898).


Entry 2:
DFT (PBE) results for NaGaGe2 after structural relaxation.

As for the energy of formation: 0.064 eV per atom. The density of states at the Fermi level is 0.158 states/eV per atom.

The structure belongs to space group P4/mmm (No. 123); the cell edges are 4.3090, 4.3090 and 4.2010 Å and the angles 90.00°, 90.00° and 90.00°. Symmetry generates all atoms from Na at (0.0000, 0.0000, 0.0000), Ga at (0.5000, 0.5000, 0.0000) and Ge at (0.0000, 0.5000, 0.5000).


Entry 3:
DFT (PBE) results for Na2Ga3Ge4 after structural relaxation.

As for the energy of formation: -0.009 eV per atom. The density of states at the Fermi level is 0.394 states/eV per atom.

The structure belongs to space group Cmce (No. 64); the cell edges are 5.9686, 15.4024 and 8.0983 Å and the angles 90.00°, 90.00° and 90.00°. Symmetry generates all atoms from Na at (0.0000, 0.1035, 0.0899), Ga at (0.0000, 0.0000, 0.5000), Ga at (0.2500, 0.2292, 0.7500), Ge at (0.0000, 0.1802, 0.4689) and Ge at (0.2500, 0.0610, 0.7500).


Entry 4:
DFT (PBE) results for Na2GaGe after structural relaxation.

The offset from the most stable computed form comes out at 0.0065 eV per atom. As for the energy of formation: -0.078 eV per atom. The density of states at the Fermi level is 0.383 states/eV per atom.

The structure belongs to space group Cm (No. 8); the cell edges are 7.5917, 4.3746 and 6.4670 Å and the angles 90.00°, 113.05° and 90.00°. Symmetry generates all atoms from Na at (0.0000, 0.0000, 0.0000), Na at (0.2161, 0.0000, 0.6494), Ga at (0.2914, 0.5000, 0.3748) and Ge at (0.4239, 0.0000, 0.2720).


Entry 5:
DFT (PBE) results for NaGaGe after structural relaxation.

As for the energy of formation: 0.521 eV per atom. The density of states at the Fermi level is 0.399 states/eV per atom.

The structure belongs to space group P6_3/mmc (No. 194); the cell edges are 5.3058, 5.3058 and 9.3122 Å and the angles 90.00°, 90.00° and 120.00°. Symmetry generates all atoms from Na at (0.3333, 0.6667, 0.2500), Ga at (0.0000, 0.0000, 0.2500) and Ge at (0.0000, 0.0000, 0.0000).


Entry 6:
DFT (PBE) results for NaGaGe after structural relaxation.

As for the energy of formation: 0.065 eV per atom. The density of states at the Fermi level is 0.135 states/eV per atom.

The structure belongs to space group P4_122 (No. 91); the cell edges are 6.9365, 6.9365 and 7.2810 Å and the angles 90.00°, 90.00° and 90.00°. Symmetry generates all atoms from Na at (0.0000, 0.3701, 0.0000), Ga at (0.3388, 0.3388, 0.3750) and Ge at (0.3070, 0.5000, 0.7500).


Entry 7:
DFT (PBE) results for NaGaGe after structural relaxation.

As for the energy of formation: -0.043 eV per atom. The density of states at the Fermi level is 0.210 states/eV per atom.

The structure belongs to space group C2/m (No. 12); the cell edges are 10.9732, 3.1966 and 8.0801 Å and the angles 90.00°, 115.57° and 90.00°. Symmetry generates all atoms from Na at (0.0819, 0.0000, 0.3649), Ga at (0.1255, 0.5000, 0.0153) and Ge at (0.1879, 0.5000, 0.7365).


Entry 8:
DFT (PBE) results for NaGaGe after structural relaxation.

As for the energy of formation: 0.010 eV per atom. The density of states at the Fermi level is 0.294 states/eV per atom.

The structure belongs to space group Pnma (No. 62); the cell edges are 5.9539, 4.2275 and 10.6661 Å and the angles 90.00°, 90.00° and 90.00°. Symmetry generates all atoms from Na at (0.1146, 0.2500, 0.1101), Ga at (0.0160, 0.2500, 0.6999) and Ge at (0.1216, 0.2500, 0.4432).


Entry 9:
DFT (PBE) results for Na2GaGe after structural relaxation.

The offset from the most stable computed form comes out at 0.0000 eV per atom. As for the energy of formation: -0.084 eV per atom. The density of states at the Fermi level is 0.224 states/eV per atom.

The structure belongs to space group Cm (No. 8); the cell edges are 10.8985, 4.9239 and 8.3466 Å and the angles 90.00°, 118.52° and 90.00°. Symmetry generates all atoms from Na at (0.0000, 0.0000, 0.0000), Na at (0.0002, 0.0000, 0.4978), Na at (0.1162, 0.5000, 0.3359), Na at (0.3859, 0.0000, 0.6628), Ga at (0.2452, 0.5000, 0.0876), Ga at (0.2535, 0.0000, 0.9079), Ge at (0.2009, 0.5000, 0.7480) and Ge at (0.3001, 0.0000, 0.2485).


Entry 10:
DFT (PBE) results for NaGaGe after structural relaxation.

As for the energy of formation: -0.053 eV per atom. The density of states at the Fermi level is 0.332 states/eV per atom.

The structure belongs to space group C2/m (No. 12); the cell edges are 6.8311, 12.1167 and 3.8537 Å and the angles 90.00°, 122.67° and 90.00°. Symmetry generates all atoms from Na at (0.0000, 0.1955, 0.0000), Ga at (0.2372, 0.0000, 0.7454) and Ge at (0.0000, 0.3923, 0.5000).


Entry 11:
DFT (PBE) results for NaGaGe after structural relaxation.

As for the energy of formation: -0.037 eV per atom. The density of states at the Fermi level is 0.399 states/eV per atom.

The structure belongs to space group C2/m (No. 12); the cell edges are 11.3488, 4.1339 and 6.4656 Å and the angles 90.00°, 105.43° and 90.00°. Symmetry generates all atoms from Na at (0.1243, 0.0000, 0.3135), Ga at (0.0936, 0.5000, 0.9298) and Ge at (0.1846, 0.0000, 0.8049).


Entry 12:
DFT (PBE) results for NaGaGe after structural relaxation.

As for the energy of formation: -0.083 eV per atom. The density of states at the Fermi level is 0.165 states/eV per atom.

The structure belongs to space group P1 (No. 1); the cell edges are 4.2575, 5.8784 and 6.5368 Å and the angles 73.27°, 88.71° and 71.77°. Symmetry generates all atoms from Na at (0.0000, 0.0000, 0.0000), Na at (0.2392, 0.5023, 0.6313), Ga at (0.2504, 0.3945, 0.1262), Ga at (0.5646, 0.9476, 0.3827), Ge at (0.6769, 0.5621, 0.2539) and Ge at (0.9840, 0.1156, 0.5112).


Entry 13:
DFT (PBE) results for Na6GaGe2 after structural relaxation.

As for the energy of formation: -0.097 eV per atom. The density of states at the Fermi level is 0.352 states/eV per atom.

The structure belongs to space group R-3m (No. 166, hexagonal axes); the cell edges are 5.3039, 5.3039 and 28.6963 Å and the angles 90.00°, 90.00° and 120.00°. Symmetry generates all atoms from Na at (0.0000, 0.0000, 0.0763), Na at (0.0000, 0.0000, 0.2012), Na at (0.0000, 0.0000, 0.3095), Ga at (0.0000, 0.0000, 0.5000) and Ge at (0.0000, 0.0000, 0.4147).


Entry 14:
DFT (PBE) results for NaGaGe after structural relaxation.

As for the energy of formation: -0.098 eV per atom. The density of states at the Fermi level is 0.204 states/eV per atom.

The structure belongs to space group P-6m2 (No. 187); the cell edges are 4.2137, 4.2137 and 4.7596 Å and the angles 90.00°, 90.00° and 120.00°. Symmetry generates all atoms from Na at (0.0000, 0.0000, 0.0000), Ga at (0.3333, 0.6667, 0.5000) and Ge at (0.6667, 0.3333, 0.5000).


Entry 15:
DFT (PBE) results for NaGa2GeO6 after structural relaxation.

As for the raw formation energy: -1.607 eV/atom.

The structure belongs to space group C2/c (No. 15); the cell edges are 9.7021, 10.9898 and 5.8978 Å and the angles 90.00°, 114.80° and 90.00°. Symmetry generates all atoms from Na at (0.0000, 0.1059, 0.2500), Ga at (0.1599, 0.4127, 0.1453), Ge at (0.0000, 0.1848, 0.7500), O at (0.0897, 0.2587, 0.0396), O at (0.1122, 0.4612, 0.4097) and O at (0.1284, 0.0840, 0.6993).


Entry 16:
DFT (PBE) results for Na2Ga2GeO6 after structural relaxation.

As for the raw formation energy: -1.799 eV/atom. The density of states at the Fermi level is 0.000 states/eV per atom.

The structure belongs to space group C2/m (No. 12); the cell edges are 5.1538, 8.8537 and 5.8206 Å and the angles 90.00°, 107.57° and 90.00°. Symmetry generates all atoms from Na at (0.0000, 0.1692, 0.0000), Ga at (0.0000, 0.3343, 0.5000), Ge at (0.0000, 0.0000, 0.5000), O at (0.2217, 0.1628, 0.6888) and O at (0.2459, 0.5000, 0.6850).


Entry 17:
DFT (PBE) results for NaGaGe2O6 after structural relaxation.

The offset from the most stable computed form comes out at 0.0113 eV per atom. As for the raw formation energy: -1.746 eV/atom. The density of states at the Fermi level is 0.000 states/eV per atom.

The structure belongs to space group C2/c (No. 15); the cell edges are 10.1892, 10.4069 and 5.6337 Å and the angles 90.00°, 111.63° and 90.00°. Symmetry generates all atoms from Na at (0.0000, 0.1056, 0.2500), Ga at (0.0000, 0.2108, 0.7500), Ge at (0.1917, 0.4175, 0.1880), O at (0.1039, 0.2731, 0.0689), O at (0.1225, 0.0944, 0.6815) and O at (0.1422, 0.4594, 0.4515).


Entry 18:
DFT (PBE) results for NaGaGe2O6 after structural relaxation.

The offset from the most stable computed form comes out at 0.0000 eV per atom. As for the raw formation energy: -1.757 eV/atom. The density of states at the Fermi level is 0.000 states/eV per atom.

The structure belongs to space group C2/c (No. 15); the cell edges are 10.1041, 8.9317 and 5.5545 Å and the angles 90.00°, 107.80° and 90.00°. Symmetry generates all atoms from Na at (0.0000, 0.1973, 0.2500), Ga at (0.0000, 0.4048, 0.7500), Ge at (0.2125, 0.0956, 0.7772), O at (0.1029, 0.4189, 0.1263), O at (0.1381, 0.0089, 0.9924) and O at (0.1431, 0.2739, 0.6973).


Entry 19:
DFT (PBE) results for Na3Ga3GeO8 after structural relaxation.

As for the raw formation energy: -1.807 eV/atom. The density of states at the Fermi level is 0.000 states/eV per atom.

The structure belongs to space group R-3m (No. 166, hexagonal axes); the cell edges are 5.9595, 5.9595 and 16.5519 Å and the angles 90.00°, 90.00° and 120.00°. Symmetry generates all atoms from Na at (0.0000, 0.5000, 0.0000), Ga at (0.0000, 0.5000, 0.5000), Ge at (0.0000, 0.0000, 0.5000), O at (0.0000, 0.0000, 0.2306) and O at (0.0147, 0.5074, 0.2299).


Entry 20:
DFT (PBE) results for NaGa2GeOs after structural relaxation.

As for the energy of formation: 0.008 eV per atom. The density of states at the Fermi level is 0.796 states/eV per atom.

The structure belongs to space group P4/mmm (No. 123); the cell edges are 4.8827, 4.8827 and 4.8233 Å and the angles 90.00°, 90.00° and 90.00°. Symmetry generates all atoms from Na at (0.0000, 0.0000, 0.0000), Ga at (0.0000, 0.5000, 0.5000), Ge at (0.5000, 0.5000, 0.0000) and Os at (0.5000, 0.5000, 0.5000).